<A>
VASP calculation (PBE) on a relaxed structure of Tb7Pr3Ho2.

```
data_Tb7Pr3Ho2
_cell_length_a 5.872
_cell_length_b 3.592
_cell_length_c 18.922
_cell_angle_alpha 90.00
_cell_angle_beta 93.02
_cell_angle_gamma 90.00
_space_group_name_H-M_alt 'P 1'
_space_group_IT_number 1
loop_
_space_group_symop_operation_xyz
'x,y,z'
loop_
_atom_site_label
_atom_site_fract_x
_atom_site_fract_y
_atom_site_fract_z
_atom_site_occupancy
Tb1 0.000 0.000 0.000 1
Tb2 0.192 0.500 0.176 1
Tb3 0.257 0.500 0.537 1
Tb4 0.310 0.000 0.855 1
Tb5 0.690 0.000 0.145 1
Tb6 0.743 0.500 0.463 1
Tb7 0.808 0.500 0.824 1
Pr1 0.221 0.000 0.366 1
Pr2 0.500 0.500 0.000 1
Pr3 0.779 0.000 0.634 1
Ho1 0.290 0.500 0.707 1
Ho2 0.710 0.500 0.293 1
```

Properties
- SG: No. 10

=====

<B>
VASP calculation (PBE) on a relaxed structure of Tb7Pr3Ho2.

```
data_Tb7Pr3Ho2
_cell_length_a 11.992
_cell_length_b 11.992
_cell_length_c 11.992
_cell_angle_alpha 31.62
_cell_angle_beta 31.62
_cell_angle_gamma 31.62
_space_group_name_H-M_alt 'P 1'
_space_group_IT_number 1
loop_
_space_group_symop_operation_xyz
'x,y,z'
loop_
_atom_site_label
_atom_site_fract_x
_atom_site_fract_y
_atom_site_fract_z
_atom_site_occupancy
Tb1 0.000 0.000 0.000 1
Tb2 0.084 0.084 0.582 1
Tb3 0.084 0.582 0.084 1
Tb4 0.418 0.916 0.916 1
Tb5 0.582 0.084 0.084 1
Tb6 0.916 0.418 0.916 1
Tb7 0.916 0.916 0.418 1
Pr1 0.344 0.344 0.344 1
Pr2 0.500 0.500 0.500 1
Pr3 0.656 0.656 0.656 1
Ho1 0.167 0.167 0.167 1
Ho2 0.833 0.833 0.833 1
```

Properties
- SG: No. 166

=====

Which is the most stable structure? <A> is the most stable.

=====

<A>
VASP calculation (PBE) on a relaxed structure of Tb4Pr3Ho.

```
data_Tb4Pr3Ho
_cell_length_a 8.989
_cell_length_b 8.989
_cell_length_c 8.989
_cell_angle_alpha 157.53
_cell_angle_beta 98.19
_cell_angle_gamma 86.18
_space_group_name_H-M_alt 'P 1'
_space_group_IT_number 1
loop_
_space_group_symop_operation_xyz
'x,y,z'
loop_
_atom_site_label
_atom_site_fract_x
_atom_site_fract_y
_atom_site_fract_z
_atom_site_occupancy
Tb1 0.111 0.866 0.246 1
Tb2 0.380 0.134 0.246 1
Tb3 0.620 0.866 0.754 1
Tb4 0.889 0.134 0.754 1
Pr1 0.242 0.742 0.500 1
Pr2 0.500 0.500 0.000 1
Pr3 0.758 0.258 0.500 1
Ho1 0.000 0.000 0.000 1
```

Properties
- SG: No. 71

=====

<B>
VASP calculation (PBE) on a relaxed structure of Tb4Pr3Ho.

```
data_Tb4Pr3Ho
_cell_length_a 11.605
_cell_length_b 7.355
_cell_length_c 6.335
_cell_angle_alpha 90.00
_cell_angle_beta 90.00
_cell_angle_gamma 90.00
_space_group_name_H-M_alt 'P 1'
_space_group_IT_number 1
loop_
_space_group_symop_operation_xyz
'x,y,z'
loop_
_atom_site_label
_atom_site_fract_x
_atom_site_fract_y
_atom_site_fract_z
_atom_site_occupancy
Tb1 0.000 0.121 0.000 1
Tb2 0.000 0.877 0.500 1
Tb3 0.248 0.122 0.333 1
Tb4 0.252 0.878 0.833 1
Tb5 0.500 0.123 0.000 1
Tb6 0.500 0.879 0.500 1
Tb7 0.748 0.878 0.833 1
Tb8 0.752 0.122 0.333 1
Pr1 0.000 0.627 0.999 1
Pr2 0.250 0.374 0.834 1
Pr3 0.250 0.626 0.334 1
Pr4 0.500 0.373 0.499 1
Pr5 0.750 0.374 0.834 1
Pr6 0.750 0.626 0.334 1
Ho1 0.000 0.370 0.497 1
Ho2 0.500 0.630 0.997 1
```

Properties
- SG: No. 31

=====

Which is the most stable structure? <B> is the most stable.

=====

<A>
VASP calculation (PBE) on a relaxed structure of Tb9Pr2Ho.

```
data_Tb9Pr2Ho
_cell_length_a 5.067
_cell_length_b 5.067
_cell_length_c 15.202
_cell_angle_alpha 90.00
_cell_angle_beta 90.00
_cell_angle_gamma 90.00
_space_group_name_H-M_alt 'P 1'
_space_group_IT_number 1
loop_
_space_group_symop_operation_xyz
'x,y,z'
loop_
_atom_site_label
_atom_site_fract_x
_atom_site_fract_y
_atom_site_fract_z
_atom_site_occupancy
Tb1 0.000 0.000 0.000 1
Tb2 0.000 0.000 0.332 1
Tb3 0.000 0.000 0.668 1
Tb4 0.000 0.500 0.164 1
Tb5 0.000 0.500 0.500 1
Tb6 0.000 0.500 0.836 1
Tb7 0.500 0.000 0.164 1
Tb8 0.500 0.000 0.500 1
Tb9 0.500 0.000 0.836 1
Pr1 0.500 0.500 0.332 1
Pr2 0.500 0.500 0.668 1
Ho1 0.500 0.500 0.000 1
```

Properties
- SG: No. 123

=====

<B>
VASP calculation (PBE) on a relaxed structure of Tb9Pr2Ho.

```
data_Tb9Pr2Ho
_cell_length_a 11.337
_cell_length_b 11.337
_cell_length_c 3.499
_cell_angle_alpha 90.00
_cell_angle_beta 90.00
_cell_angle_gamma 120.00
_space_group_name_H-M_alt 'P 1'
_space_group_IT_number 1
loop_
_space_group_symop_operation_xyz
'x,y,z'
loop_
_atom_site_label
_atom_site_fract_x
_atom_site_fract_y
_atom_site_fract_z
_atom_site_occupancy
Tb1 0.000 0.500 0.000 1
Tb2 0.172 0.345 0.500 1
Tb3 0.172 0.828 0.500 1
Tb4 0.345 0.172 0.500 1
Tb5 0.500 0.000 0.000 1
Tb6 0.500 0.500 0.000 1
Tb7 0.655 0.828 0.500 1
Tb8 0.828 0.172 0.500 1
Tb9 0.828 0.655 0.500 1
Pr1 0.333 0.667 0.000 1
Pr2 0.667 0.333 0.000 1
Ho1 0.000 0.000 0.000 1
```

Properties
- SG: No. 191

=====

Which is the most stable structure? <A> is the most stable.

=====

<A>
VASP calculation (PBE) on a relaxed structure of Tb2Pr5Ho2.

```
data_Tb2Pr5Ho2
_cell_length_a 10.497
_cell_length_b 10.497
_cell_length_c 10.497
_cell_angle_alpha 86.76
_cell_angle_beta 103.58
_cell_angle_gamma 145.26
_space_group_name_H-M_alt 'P 1'
_space_group_IT_number 1
loop_
_space_group_symop_operation_xyz
'x,y,z'
loop_
_atom_site_label
_atom_site_fract_x
_atom_site_fract_y
_atom_site_fract_z
_atom_site_occupancy
Tb1 0.000 0.000 0.000 1
Tb2 0.000 0.500 0.500 1
Tb3 0.808 0.615 0.693 1
Tb4 0.922 0.115 0.307 1
Pr1 0.116 0.575 0.828 1
Pr2 0.116 0.788 0.040 1
Pr3 0.166 0.091 0.575 1
Pr4 0.388 0.135 0.350 1
Pr5 0.388 0.537 0.753 1
Pr6 0.516 0.591 0.425 1
Pr7 0.747 0.075 0.960 1
Pr8 0.747 0.288 0.172 1
Pr9 0.785 0.037 0.650 1
Pr10 0.785 0.635 0.247 1
Ho1 0.385 0.571 0.085 1
Ho2 0.385 0.800 0.314 1
Ho3 0.486 0.071 0.686 1
Ho4 0.486 0.300 0.915 1
```

Properties
- SG: No. 46

=====

<B>
VASP calculation (PBE) on a relaxed structure of Tb2Pr5Ho2.

```
data_Tb2Pr5Ho2
_cell_length_a 8.147
_cell_length_b 8.147
_cell_length_c 8.139
_cell_angle_alpha 107.59
_cell_angle_beta 107.59
_cell_angle_gamma 36.85
_space_group_name_H-M_alt 'P 1'
_space_group_IT_number 1
loop_
_space_group_symop_operation_xyz
'x,y,z'
loop_
_atom_site_label
_atom_site_fract_x
_atom_site_fract_y
_atom_site_fract_z
_atom_site_occupancy
Tb1 0.108 0.108 0.164 1
Tb2 0.892 0.892 0.836 1
Pr1 0.000 0.000 0.500 1
Pr2 0.223 0.223 0.836 1
Pr3 0.334 0.334 0.499 1
Pr4 0.666 0.666 0.501 1
Pr5 0.777 0.777 0.164 1
Ho1 0.446 0.446 0.162 1
Ho2 0.554 0.554 0.838 1
```

Properties
- SG: No. 12

=====

Which is the most stable structure? <B> is the most stable.

=====

<A>
VASP calculation (PBE) on a relaxed structure of TbPr4Ho5.

```
data_TbPr4Ho5
_cell_length_a 3.618
_cell_length_b 3.618
_cell_length_c 25.270
_cell_angle_alpha 90.00
_cell_angle_beta 90.00
_cell_angle_gamma 90.00
_space_group_name_H-M_alt 'P 1'
_space_group_IT_number 1
loop_
_space_group_symop_operation_xyz
'x,y,z'
loop_
_atom_site_label
_atom_site_fract_x
_atom_site_fract_y
_atom_site_fract_z
_atom_site_occupancy
Tb1 0.000 0.000 0.000 1
Pr1 0.000 0.000 0.198 1
Pr2 0.000 0.000 0.399 1
Pr3 0.000 0.000 0.601 1
Pr4 0.000 0.000 0.802 1
Ho1 0.500 0.500 0.097 1
Ho2 0.500 0.500 0.298 1
Ho3 0.500 0.500 0.500 1
Ho4 0.500 0.500 0.702 1
Ho5 0.500 0.500 0.903 1
```

Properties
- SG: No. 123

=====

<B>
VASP calculation (PBE) on a relaxed structure of TbPr4Ho5.

```
data_TbPr4Ho5
_cell_length_a 3.540
_cell_length_b 8.781
_cell_length_c 11.358
_cell_angle_alpha 90.06
_cell_angle_beta 90.00
_cell_angle_gamma 101.62
_space_group_name_H-M_alt 'P 1'
_space_group_IT_number 1
loop_
_space_group_symop_operation_xyz
'x,y,z'
loop_
_atom_site_label
_atom_site_fract_x
_atom_site_fract_y
_atom_site_fract_z
_atom_site_occupancy
Tb1 0.000 0.000 0.000 1
Pr1 0.157 0.318 0.250 1
Pr2 0.467 0.935 0.250 1
Pr3 0.533 0.065 0.750 1
Pr4 0.843 0.682 0.750 1
Ho1 0.000 0.000 0.500 1
Ho2 0.327 0.653 0.049 1
Ho3 0.328 0.654 0.452 1
Ho4 0.672 0.346 0.548 1
Ho5 0.673 0.347 0.951 1
```

Properties
- SG: No. 2

=====

Which is the most stable structure? <A> is the most stable.

=====

<A>
VASP calculation (PBE) on a relaxed structure of TbPr4Ho4.

```
data_TbPr4Ho4
_cell_length_a 9.001
_cell_length_b 9.001
_cell_length_c 6.806
_cell_angle_alpha 111.96
_cell_angle_beta 111.96
_cell_angle_gamma 36.76
_space_group_name_H-M_alt 'P 1'
_space_group_IT_number 1
loop_
_space_group_symop_operation_xyz
'x,y,z'
loop_
_atom_site_label
_atom_site_fract_x
_atom_site_fract_y
_atom_site_fract_z
_atom_site_occupancy
Tb1 0.000 0.000 0.000 1
Pr1 0.220 0.220 0.155 1
Pr2 0.367 0.367 0.690 1
Pr3 0.633 0.633 0.310 1
Pr4 0.780 0.780 0.845 1
Ho1 0.121 0.121 0.575 1
Ho2 0.429 0.429 0.232 1
Ho3 0.571 0.571 0.768 1
Ho4 0.879 0.879 0.425 1
```

Properties
- SG: No. 12

=====

<B>
VASP calculation (PBE) on a relaxed structure of TbPr4Ho4.

```
data_TbPr4Ho4
_cell_length_a 8.085
_cell_length_b 8.085
_cell_length_c 8.085
_cell_angle_alpha 95.70
_cell_angle_beta 95.70
_cell_angle_gamma 143.26
_space_group_name_H-M_alt 'P 1'
_space_group_IT_number 1
loop_
_space_group_symop_operation_xyz
'x,y,z'
loop_
_atom_site_label
_atom_site_fract_x
_atom_site_fract_y
_atom_site_fract_z
_atom_site_occupancy
Tb1 0.000 0.000 0.000 1
Pr1 0.333 0.333 0.666 1
Pr2 0.333 0.667 0.000 1
Pr3 0.667 0.333 0.000 1
Pr4 0.667 0.667 0.334 1
Ho1 0.000 0.336 0.336 1
Ho2 0.000 0.664 0.664 1
Ho3 0.336 0.000 0.336 1
Ho4 0.664 0.000 0.664 1
```

Properties
- SG: No. 139

=====

Which is the most stable structure? <B> is the most stable.